w:
This record from Alexandria via LeMat-Bulk describes a geometry-optimized Ac2LaGa2 structure. The functional is PBE.

a = 6.770 Å, b = 6.770 Å, c = 11.605 Å
α = 117.14°, β = 117.14°, γ = 43.71°
Positions (direct):
Ac  0.019  0.019  0.180
Ac  0.190  0.190  0.600
Ac  0.810  0.810  0.400
Ac  0.981  0.981  0.820
La  0.300  0.300  0.149
La  0.700  0.700  0.851
Ga  0.376  0.376  0.926
Ga  0.457  0.457  0.584
Ga  0.543  0.543  0.416
Ga  0.624  0.624  0.074

Symmetry ... C2/m, No. 12
Spin magnetization ... 0.000 μB per atom


x:
This record from Alexandria via LeMat-Bulk describes a geometry-optimized Ac2LaGa2 structure. The functional is PBE.

a = 6.485 Å, b = 6.485 Å, c = 6.485 Å
α = 136.53°, β = 115.91°, γ = 80.64°
Positions (direct):
Ac  0.201  0.201  0.000
Ac  0.799  0.799  0.000
La  0.500  0.000  0.500
Ga  0.198  0.500  0.698
Ga  0.802  0.500  0.302

Symmetry ... Immm, No. 71
Spin magnetization ... 0.000 μB per atom


Energies relative to the minimum, meV/atom: w 0; x 28


w:
This record from Alexandria via LeMat-Bulk describes a geometry-optimized AcLaGa4 structure. The functional is PBE.

a = 8.254 Å, b = 8.254 Å, c = 8.254 Å
α = 148.75°, β = 148.75°, γ = 44.78°
Positions (direct):
Ac  0.000  0.000  0.000
La  0.750  0.250  0.500
Ga  0.168  0.668  0.500
Ga  0.332  0.832  0.500
Ga  0.415  0.415  0.000
Ga  0.585  0.585  0.000

Symmetry ... I-4m2, No. 119
Spin magnetization ... 0.000 μB per atom


x:
This record from Alexandria via LeMat-Bulk describes a geometry-optimized AcLaGa4 structure. The functional is PBE.

a = 5.795 Å, b = 5.795 Å, c = 5.795 Å
α = 60.00°, β = 60.00°, γ = 60.00°
Positions (direct):
Ac  0.000  0.000  0.000
La  0.750  0.750  0.750
Ga  0.375  0.375  0.375
Ga  0.375  0.375  0.874
Ga  0.375  0.874  0.375
Ga  0.874  0.375  0.375

Symmetry ... F-43m, No. 216
Spin magnetization ... 0.000 μB per atom


Energies relative to the minimum, meV/atom: w 0; x 131


w:
This record from Alexandria via LeMat-Bulk describes a geometry-optimized AcLa3Ga2 structure. The functional is PBE.

a = 9.489 Å, b = 9.489 Å, c = 9.335 Å
α = 111.50°, β = 111.50°, γ = 29.44°
Positions (direct):
Ac  0.115  0.115  0.145
Ac  0.885  0.885  0.855
La  0.050  0.050  0.683
La  0.316  0.316  0.065
La  0.350  0.350  0.520
La  0.650  0.650  0.480
La  0.684  0.684  0.935
La  0.950  0.950  0.317
Ga  0.230  0.230  0.709
Ga  0.497  0.497  0.145
Ga  0.503  0.503  0.855
Ga  0.770  0.770  0.291

Symmetry ... C2/m, No. 12
Spin magnetization ... 0.000 μB per atom


x:
This record from Alexandria via LeMat-Bulk describes a geometry-optimized AcLa3Ga2 structure. The functional is PBE.

a = 5.314 Å, b = 9.939 Å, c = 7.042 Å
α = 90.00°, β = 90.00°, γ = 90.00°
Positions (direct):
Ac  0.000  0.058  0.000
Ac  0.000  0.942  0.500
La  0.000  0.336  0.683
La  0.000  0.664  0.183
La  0.500  0.172  0.305
La  0.500  0.440  0.988
La  0.500  0.560  0.488
La  0.500  0.828  0.805
Ga  0.000  0.350  0.218
Ga  0.000  0.650  0.718
Ga  0.500  0.155  0.765
Ga  0.500  0.845  0.265

Symmetry ... Pmc2_1, No. 26
Spin magnetization ... 0.000 μB per atom


Energies relative to the minimum, meV/atom: w 29; x 0


w:
This record from Alexandria via LeMat-Bulk describes a geometry-optimized AcLaGaPb structure. The functional is PBE.

a = 4.449 Å, b = 6.557 Å, c = 6.557 Å
α = 43.26°, β = 90.00°, γ = 90.00°
Positions (direct):
Ac  0.000  0.000  0.000
La  0.500  0.719  0.719
Ga  0.500  0.442  0.442
Pb  0.000  0.284  0.284

Symmetry ... Amm2, No. 38
Spin magnetization ... 0.112 μB per atom


x:
This record from Alexandria via LeMat-Bulk describes a geometry-optimized AcLaGaPb structure. The functional is PBE.

a = 5.636 Å, b = 5.636 Å, c = 5.636 Å
α = 60.00°, β = 60.00°, γ = 60.00°
Positions (direct):
Ac  0.000  0.000  0.000
La  0.500  0.500  0.500
Ga  0.750  0.750  0.750
Pb  0.250  0.250  0.250

Symmetry ... F-43m, No. 216
Spin magnetization ... 0.001 μB per atom


Energies relative to the minimum, meV/atom: w 0; x 97


w:
This record from Alexandria via LeMat-Bulk describes a geometry-optimized AcLaGaRu structure. The functional is PBE.

a = 4.064 Å, b = 6.245 Å, c = 6.245 Å
α = 42.98°, β = 90.00°, γ = 90.00°
Positions (direct):
Ac  0.000  0.000  0.000
La  0.500  0.281  0.281
Ga  0.500  0.594  0.594
Ru  0.000  0.734  0.734

Symmetry ... Amm2, No. 38
Spin magnetization ... 0.000 μB per atom


x:
This record from Alexandria via LeMat-Bulk describes a geometry-optimized AcLaGaRu structure. The functional is PBE.

a = 5.282 Å, b = 5.282 Å, c = 5.282 Å
α = 60.00°, β = 60.00°, γ = 60.00°
Positions (direct):
Ac  0.000  0.000  0.000
La  0.500  0.500  0.500
Ga  0.750  0.750  0.750
Ru  0.250  0.250  0.250

Symmetry ... F-43m, No. 216
Spin magnetization ... 0.000 μB per atom


Energies relative to the minimum, meV/atom: w 0; x 143


w:
This record from Alexandria via LeMat-Bulk describes a geometry-optimized AcLaGaSn structure. The functional is PBE.

a = 4.383 Å, b = 6.513 Å, c = 6.513 Å
α = 43.21°, β = 90.00°, γ = 90.00°
Positions (direct):
Ac  0.000  0.000  0.000
La  0.500  0.718  0.718
Ga  0.500  0.436  0.436
Sn  0.000  0.285  0.285

Symmetry ... Amm2, No. 38
Spin magnetization ... 0.079 μB per atom


x:
This record from Alexandria via LeMat-Bulk describes a geometry-optimized AcLaGaSn structure. The functional is PBE.

a = 5.587 Å, b = 5.587 Å, c = 5.587 Å
α = 60.00°, β = 60.00°, γ = 60.00°
Positions (direct):
Ac  0.000  0.000  0.000
La  0.500  0.500  0.500
Ga  0.250  0.250  0.250
Sn  0.750  0.750  0.750

Symmetry ... F-43m, No. 216
Spin magnetization ... 0.000 μB per atom


Energies relative to the minimum, meV/atom: w 0; x 125